Compound: MnTcPb2
Source: Alexandria via LeMat-Bulk
Functional: PBE
Structure: optimized geometry

## Properties
ρ	11.22	g cm⁻³
SG	R-3m (166)
energy of formation	264	kJ/mol of formula units
total energy	-6.054	eV per atom
offset from the most stable computed form	368	meV per atom

Cell and atoms, written as POSCAR:
```
MnTcPb2
1.0
1.652 0.954 8.875
-1.652 0.954 8.875
0.000 -1.908 8.875
Mn Tc Pb
1 1 2
direct
0.000 0.000 0.000 Mn
0.500 0.500 0.500 Tc
0.246 0.246 0.246 Pb
0.754 0.754 0.754 Pb
```

***

Compound: Mn2TcPb
Source: Alexandria via LeMat-Bulk
Functional: PBE
Structure: optimized geometry

## Properties
ρ	9.61	g cm⁻³
SG	R-3m (166)
energy of formation	206	kJ/mol of formula units
total energy	-7.569	eV per atom

Cell and atoms, written as POSCAR:
```
Mn2TcPb
1.0
1.516 0.875 9.018
-1.516 0.875 9.018
0.000 -1.750 9.018
Mn Tc Pb
2 1 1
direct
0.239 0.239 0.239 Mn
0.761 0.761 0.761 Mn
0.500 0.500 0.500 Tc
0.000 0.000 0.000 Pb
```

***

Compound: MnTcPb2
Source: Alexandria via LeMat-Bulk
Functional: PBE
Structure: optimized geometry

## Properties
ρ	10.78	g cm⁻³
SG	P4mm (99)
energy of formation	122	kJ/mol of formula units
total energy	-6.423	eV per atom
offset from the most stable computed form	0	meV per atom

Cell and atoms, written as POSCAR:
```
MnTcPb2
1.0
3.195 0.000 0.000
0.000 3.195 0.000
0.000 0.000 8.561
Mn Tc Pb
1 1 2
direct
0.000 0.000 0.000 Mn
0.500 0.500 0.864 Tc
0.000 0.000 0.620 Pb
0.500 0.500 0.233 Pb
```

***

Compound: MnTcPb2
Source: Alexandria via LeMat-Bulk
Functional: PBE
Structure: optimized geometry

## Properties
ρ	12.83	g cm⁻³
SG	Fm-3m (225)
energy of formation	341	kJ/mol of formula units
total energy	-5.854	eV per atom
offset from the most stable computed form	569	meV per atom

Cell and atoms, written as POSCAR:
```
MnTcPb2
1.0
0.000 3.324 3.324
3.324 0.000 3.324
3.324 3.324 0.000
Mn Tc Pb
1 1 2
direct
0.000 0.000 0.000 Mn
0.500 0.500 0.500 Tc
0.250 0.250 0.250 Pb
0.750 0.750 0.750 Pb
```

***

Compound: MnTcPb3
Source: Alexandria via LeMat-Bulk
Functional: PBE
Structure: optimized geometry

## Properties
ρ	9.21	g cm⁻³
SG	Pm-3m (221)
energy of formation	526	kJ/mol of formula units
total energy	-5.041	eV per atom
offset from the most stable computed form	0	meV per atom

Cell and atoms, written as POSCAR:
```
MnTcPb3
1.0
5.187 0.000 0.000
0.000 5.187 0.000
0.000 0.000 5.187
Mn Tc Pb
1 1 3
direct
0.000 0.000 0.000 Mn
0.500 0.500 0.500 Tc
0.000 0.000 0.500 Pb
0.000 0.500 0.000 Pb
0.500 0.000 0.000 Pb
```

***

Compound: MnTcPb2
Source: Alexandria via LeMat-Bulk
Functional: PBE
Structure: optimized geometry

## Properties
ρ	11.13	g cm⁻³
SG	Cm (8)
energy of formation	210	kJ/mol of formula units
total energy	-6.193	eV per atom
offset from the most stable computed form	229	meV per atom

Cell and atoms, written as POSCAR:
```
MnTcPb2
1.0
4.933 -1.659 0.000
4.933 1.659 0.000
-3.811 0.000 5.173
Mn Tc Pb
1 1 2
direct
0.000 0.000 0.000 Mn
0.416 0.416 0.213 Tc
0.652 0.652 0.792 Pb
0.767 0.767 0.412 Pb
```

***

Compound: Mn2TcPb
Source: Alexandria via LeMat-Bulk
Functional: PBE
Structure: optimized geometry

## Properties
ρ	10.53	g cm⁻³
SG	Cm (8)
energy of formation	181	kJ/mol of formula units
total energy	-7.635	eV per atom

Cell and atoms, written as POSCAR:
```
Mn2TcPb
1.0
4.459 -1.522 0.000
4.459 1.522 0.000
-0.951 0.000 4.823
Mn Tc Pb
2 1 1
direct
0.000 0.000 0.000 Mn
0.249 0.249 0.780 Mn
0.514 0.514 0.594 Tc
0.756 0.756 0.280 Pb
```

***

Compound: MnTcPb4
Source: Alexandria via LeMat-Bulk
Functional: PBE
Structure: optimized geometry

## Properties
ρ	9.35	g cm⁻³
SG	F-43m (216)
energy of formation	637	kJ/mol of formula units
total energy	-4.627	eV per atom

Cell and atoms, written as POSCAR:
```
MnTcPb4
1.0
0.000 4.434 4.434
4.434 0.000 4.434
4.434 4.434 0.000
Mn Tc Pb
1 1 4
direct
0.000 0.000 0.000 Mn
0.250 0.250 0.250 Tc
0.126 0.625 0.625 Pb
0.625 0.126 0.625 Pb
0.625 0.625 0.126 Pb
0.625 0.625 0.625 Pb
```